Entry from Alexandria: an optimized crystal structure of BaLiZnBi2 (GGA-PBE). Values from VASP.

Quantum ESPRESSO input file:
```
&SYSTEM
  ibrav = 0, nat = 5, ntyp = 4
/
ATOMIC_SPECIES
Li 6.94 Li.upf
Zn 65.41 Zn.upf
Bi 208.98 Bi.upf
Ba 137.33 Ba.upf
CELL_PARAMETERS angstrom
4.774 0.000 0.000
0.000 4.774 0.000
-2.387 -2.387 6.545
ATOMIC_POSITIONS angstrom
Li 2.387 0.000 3.273
Zn 0.000 2.387 3.273
Bi 0.000 0.000 4.881
Bi 2.387 2.387 1.664
Ba 0.000 0.000 0.000
```

Symmetry: No. 119
ΔE_f, eV/atom: -0.52
VASP energy, eV/cell: -15.50